The following is a PBE calculation of an optimized crystal structure of DySnSbI2, from the Open Quantum Materials Database.

Summary:
Magnetic moment (μB/f.u.): 0.0
Raw total energy (eV per atom): -3.9335

Unit cell a=4.4068 b=4.4068 c=11.5088 alpha=90.00 beta=90.00 gamma=120.00
Space group P3m1 (No. 156)
One atom of each set of equivalent atoms:
Dy  0.0000  0.0000  0.0000 (multiplicity 1)
Sn  0.3333  0.6667  0.3111 (multiplicity 1)
Sb  0.6667  0.3333  0.1474 (multiplicity 1)
I  0.0000  0.0000  0.4834 (multiplicity 1)
I  0.3333  0.6667  0.8334 (multiplicity 1)


The following is a PBE calculation of an optimized crystal structure of DyTmSbI2, from the Open Quantum Materials Database.

Summary:
Magnetic moment (μB/f.u.): 0.0
Raw total energy (eV per atom): -4.4838

Unit cell a=4.3080 b=4.3080 c=11.1149 alpha=90.00 beta=90.00 gamma=120.00
Space group P3m1 (No. 156)
One atom of each set of equivalent atoms:
Dy  0.0000  0.0000  0.0000 (multiplicity 1)
Tm  0.3333  0.6667  0.3007 (multiplicity 1)
Sb  0.6667  0.3333  0.1532 (multiplicity 1)
I  0.0000  0.0000  0.4730 (multiplicity 1)
I  0.3333  0.6667  0.8243 (multiplicity 1)


The following is a PBE calculation of an optimized crystal structure of Dy4SiI5, from the Open Quantum Materials Database.

Summary:
Magnetic moment (μB/f.u.): 0.0
Raw total energy (eV per atom): -4.3225

Unit cell a=19.089 b=4.186 c=8.784 alpha=90.00 beta=102.59 gamma=90.00
Space group C2/m (No. 12)
One atom of each set of equivalent atoms:
Dy  0.000  0.000  0.209 (multiplicity 4)
Dy  0.145  0.500  0.073 (multiplicity 4)
Si  0.000  0.500  0.000 (multiplicity 2)
I  0.000  0.500  0.500 (multiplicity 2)
I  0.166  0.000  0.336 (multiplicity 4)
I  0.172  0.000  0.829 (multiplicity 4)


The following is a PBE calculation of an optimized crystal structure of TbDyI6, from the Open Quantum Materials Database.

Summary:
Magnetic moment (μB/f.u.): 0.0
Raw total energy (eV per atom): -3.7207

Unit cell a=7.647 b=13.285 c=7.628 alpha=90.00 beta=109.15 gamma=90.00
Space group C2 (No. 5)
One atom of each set of equivalent atoms:
Tb  0.000  0.000  0.000 (multiplicity 2)
Dy  0.000  0.332  0.000 (multiplicity 2)
I  0.226  0.166  0.247 (multiplicity 4)
I  0.247  0.341  0.758 (multiplicity 4)
I  0.247  0.991  0.758 (multiplicity 4)


The following is a PBE calculation of an optimized crystal structure of Dy4Tl3I, from the Open Quantum Materials Database.

Summary:
Magnetic moment (μB/f.u.): 0.8
Raw total energy (eV per atom): -3.3121

Unit cell a=4.912 b=4.912 c=21.432 alpha=90.00 beta=90.00 gamma=90.00
Space group I-42m (No. 121)
One atom of each set of equivalent atoms:
Dy  0.249  0.249  0.373 (multiplicity 8)
Tl  0.000  0.000  0.000 (multiplicity 2)
Tl  0.000  0.500  0.250 (multiplicity 4)
I  0.000  0.000  0.500 (multiplicity 2)


The following is a PBE calculation of an optimized crystal structure of DyZr5I3, from the Open Quantum Materials Database.

Summary:
Magnetic moment (μB/f.u.): 2.0
Raw total energy (eV per atom): -5.3641

Unit cell a=7.4669 b=7.4669 c=5.4068 alpha=90.00 beta=90.00 gamma=120.00
Space group P-62m (No. 189)
One atom of each set of equivalent atoms:
Dy  0.0000  0.0000  0.0000 (multiplicity 1)
Zr  0.0000  0.2251  0.5000 (multiplicity 3)
Zr  0.3333  0.6667  0.5000 (multiplicity 2)
I  0.0000  0.4163  0.0000 (multiplicity 3)


The following is a PBE calculation of an optimized crystal structure of DyZrI, from the Open Quantum Materials Database.

Summary:
Magnetic moment (μB/f.u.): 0.0
Raw total energy (eV per atom): -4.8214

Unit cell a=5.3470 b=5.3470 c=9.7609 alpha=90.00 beta=90.00 gamma=120.00
Space group P3m1 (No. 156)
One atom of each set of equivalent atoms:
Dy  0.0000  0.0000  0.0000 (multiplicity 1)
Dy  0.0000  0.0000  0.3554 (multiplicity 1)
Dy  0.3333  0.6667  0.5967 (multiplicity 1)
Zr  0.6667  0.3333  0.1949 (multiplicity 1)
Zr  0.6667  0.3333  0.4884 (multiplicity 1)
Zr  0.6667  0.3333  0.8186 (multiplicity 1)
I  0.0000  0.0000  0.6790 (multiplicity 1)
I  0.3333  0.6667  0.2724 (multiplicity 1)
I  0.3333  0.6667  0.9055 (multiplicity 1)


The following is a PBE calculation of an optimized crystal structure of DyIn, from the Open Quantum Materials Database.

Summary:
Magnetic moment (μB/f.u.): 0.0
Raw total energy (eV per atom): -4.1331

Unit cell a=3.753 b=3.753 c=3.753 alpha=90.00 beta=90.00 gamma=90.00
Space group Pm-3m (No. 221)
One atom of each set of equivalent atoms:
Dy  0.000  0.000  0.000 (multiplicity 1)
In  0.500  0.500  0.500 (multiplicity 1)